First-principles (PBE) data for an optimized crystal structure of Li6PrCu6, as listed in Alexandria via LeMat-Bulk.

For the formation energy from the elements, the calculation gives -58 meV/atom. The mass density is 4.73 g cm⁻³. The calculated volume is 395.6 Å³/cell.

The space group is Immm (No. 71) and the conventional cell measures 5.025, 8.861 and 8.885 Å, with angles of 90.00, 90.00 and 90.00 degrees. The distinct sites, in fractional coordinates, are Li at (0.000, 0.000, 0.141), Li at (0.000, 0.348, 0.500), Li at (0.000, 0.500, 0.212), Pr at (0.000, 0.000, 0.500), Cu at (0.000, 0.277, 0.000) and Cu at (0.250, 0.250, 0.250).